# SrCoP2O6

A relaxed SrCoP2O6 crystal (GGA+U, the Alexandria database).

Unit cell a=5.2190 b=5.2190 c=17.7220 alpha=90.00 beta=90.00 gamma=120.00
Space group R-3 (No. 148, hexagonal axes)
Unique sites:
Sr1 0.0000 0.0000 0.0000
Co1 0.0000 0.0000 0.5000
P1 0.0000 0.0000 0.2560
O1 0.0256 0.7246 0.2354

theoretical density = 3.629 Mg/m³
total energy = -6.595 eV per atom
volume = 13.935 Å³/atom